DFT (PBE-GGA) results for an optimized crystal structure of BeCu2.

a b c (Å): 2.491 2.491 6.171
angles (deg): 90.00 90.00 120.00
Atoms (fractional coordinates):
Be 0.333 0.667 0.500
Cu 0.000 0.000 0.801
Cu 0.000 0.000 0.199

Computed properties:
E_tot   -3.875 eV/atom
Space group   P-6m2 (187)

---

DFT (PBE-GGA) results for an optimized crystal structure of MnBe2NbPt.

a b c (Å): 4.117 4.317 4.117
angles (deg): 90.00 90.00 90.00
Atoms (fractional coordinates):
Be 0.000 0.000 0.500
Be 0.500 0.000 0.000
Nb 0.000 0.500 0.000
Mn 0.000 0.000 0.000
Pt 0.500 0.500 0.500

Computed properties:
E_tot   -5.908 eV/atom
Space group   P4/mmm (123)

---

DFT (PBE-GGA) results for an optimized crystal structure of V4In.

a b c (Å): 5.021 5.021 5.021
angles (deg): 90.00 90.00 90.00
Last column: magnetic moment on the atom in μB.
Atoms (fractional coordinates):
In 0.500 0.500 0.500  -0.02
V 0.000 0.000 0.000  2.90
V 0.500 0.000 0.500  2.48
V 0.000 0.500 0.500  2.48
V 0.500 0.500 0.000  2.48

Computed properties:
E_tot   -5.802 eV/atom
Space group   Pm-3m (221)

---

DFT (PBE-GGA) results for an optimized crystal structure of YCd.

a b c (Å): 6.024 6.024 6.024
angles (deg): 135.69 135.69 64.46
Atoms (fractional coordinates):
Cd 0.000 0.000 0.000
Cd 0.750 0.250 0.500
Y 0.250 0.750 0.500
Y 0.500 0.500 0.000

Computed properties:
E_tot   -3.885 eV/atom
Space group   I4_1/amd (141)

---

DFT (PBE-GGA) results for an optimized crystal structure of YHPt2Au.

a b c (Å): 4.189 4.189 4.404
angles (deg): 90.00 90.00 90.00
Atoms (fractional coordinates):
Y 0.500 0.500 0.500
H 0.000 0.000 0.000
Au 0.000 0.000 0.500
Pt 0.000 0.500 0.000
Pt 0.500 0.000 0.000

Computed properties:
Distance to the lowest polymorph of the same formula   69 meV/atom
E_tot   -5.528 eV/atom
Space group   P4/mmm (123)

---

DFT (PBE-GGA) results for an optimized crystal structure of Pm6MgCd.

a b c (Å): 5.226 5.226 9.930
angles (deg): 74.74 74.74 90.00
Atoms (fractional coordinates):
Pm 0.749 0.749 0.502
Pm 0.613 0.113 0.773
Pm 0.113 0.613 0.773
Pm 0.387 0.887 0.227
Pm 0.251 0.251 0.498
Pm 0.887 0.387 0.227
Mg 0.500 0.500 0.000
Cd 0.000 0.000 0.000

Computed properties:
Distance to the lowest polymorph of the same formula   0 meV/atom
E_tot   -3.971 eV/atom
Space group   I4/mmm (139)

---

DFT (PBE-GGA) results for an optimized crystal structure of Nd2MnGa6.

a b c (Å): 6.289 6.289 6.289
angles (deg): 60.00 60.00 60.00
Last column: magnetic moment on the atom in μB.
Atoms (fractional coordinates):
Nd 0.250 0.250 0.250  -0.01
Nd 0.750 0.750 0.750  -0.01
Mn 0.000 0.000 0.000  2.65
Ga 0.281 0.719 0.719  -0.03
Ga 0.281 0.719 0.281  -0.03
Ga 0.719 0.281 0.719  -0.03
Ga 0.719 0.281 0.281  -0.03
Ga 0.719 0.719 0.281  -0.03
Ga 0.281 0.281 0.719  -0.03

Computed properties:
E_tot   -4.644 eV/atom
Space group   Fm-3m (225)

---

DFT (PBE-GGA) results for an optimized crystal structure of ReRu2W.

a b c (Å): 2.858 4.560 4.560
angles (deg): 93.77 90.00 90.00
Atoms (fractional coordinates):
Re 0.500 0.421 0.421
Ru 0.000 0.915 0.333
Ru 0.000 0.333 0.915
W 0.500 0.829 0.829

Computed properties:
Distance to the lowest polymorph of the same formula   19 meV/atom
E_tot   -10.957 eV/atom
Space group   Amm2 (38)

---

DFT (PBE-GGA) results for an optimized crystal structure of PmPa2Bi5.

a b c (Å): 4.517 8.314 13.344
angles (deg): 90.00 90.00 90.00
Last column: magnetic moment on the atom in μB.
Atoms (fractional coordinates):
Pm 0.000 0.500 0.500  0.01
Pm 0.000 0.000 0.000  0.01
Pa 0.500 0.602 0.181  0.70
Pa 0.500 0.398 0.819  0.70
Pa 0.500 0.898 0.681  0.70
Pa 0.500 0.102 0.319  0.70
Bi 0.000 0.000 0.500  0.00
Bi 0.000 0.500 0.000  0.00
Bi 0.000 0.871 0.220  -0.04
Bi 0.000 0.129 0.780  -0.04
Bi 0.000 0.629 0.720  -0.04
Bi 0.000 0.371 0.280  -0.04
Bi 0.500 0.740 0.423  0.00
Bi 0.500 0.260 0.577  0.00
Bi 0.500 0.760 0.923  0.00
Bi 0.500 0.240 0.077  0.00

Computed properties:
E_tot   -5.652 eV/atom
Space group   Pbam (55)

---

DFT (PBE-GGA) results for an optimized crystal structure of BeC.

a b c (Å): 1.922 3.435 2.909
angles (deg): 115.04 89.97 57.71
Atoms (fractional coordinates):
Be 0.486 0.815 0.327
C 0.654 0.147 0.993

Computed properties:
Distance to the lowest polymorph of the same formula   556 meV/atom
E_tot   -5.600 eV/atom
Space group   Cm (8)